Entry 1:
VASP calculation (PBE) on NiPd3 after structural relaxation.

a = 3.818 Å, b = 5.511 Å, c = 5.511 Å
α = 91.09°, β = 90.00°, γ = 90.00°
Site moments in Bohr magnetons follow the coordinates.
Sites, in units of the cell vectors:
Ni (0.250, 0.376, 0.624)  0.97
Ni (0.750, 0.624, 0.376)  0.97
Pd (0.250, 0.873, 0.127)  0.34
Pd (0.750, 0.127, 0.873)  0.34
Pd (0.250, 0.863, 0.616)  0.37
Pd (0.750, 0.137, 0.384)  0.37
Pd (0.750, 0.616, 0.863)  0.37
Pd (0.250, 0.384, 0.137)  0.37

Output
energy relative to the elements	0.04	eV per atom


Entry 2:
VASP calculation (PBE) on V3CdCu after structural relaxation.

a = 4.460 Å, b = 4.460 Å, c = 4.460 Å
α = 90.00°, β = 90.00°, γ = 90.00°
Site moments in Bohr magnetons follow the coordinates.
Sites, in units of the cell vectors:
Cd (0.500, 0.500, 0.500)  -0.02
Cu (0.000, 0.000, 0.000)  0.11
V (0.000, 0.500, 0.000)  0.69
V (0.000, 0.000, 0.500)  0.69
V (0.500, 0.000, 0.000)  0.69

Output
energy relative to the lowest polymorph listed for this composition	0.000	eV per atom
energy relative to the elements	1.09	eV per atom


Entry 3:
VASP calculation (PBE) on YFe2Co2 after structural relaxation.

a = 3.929 Å, b = 3.929 Å, c = 10.131 Å
α = 101.18°, β = 101.18°, γ = 90.00°
Site moments in Bohr magnetons follow the coordinates.
Sites, in units of the cell vectors:
Y (0.627, 0.627, 0.254)  -0.24
Y (0.373, 0.373, 0.746)  -0.24
Fe (0.000, 0.500, 0.000)  2.51
Fe (0.186, 0.186, 0.371)  2.21
Fe (0.500, 0.000, 0.000)  2.51
Fe (0.814, 0.814, 0.629)  2.21
Co (0.750, 0.250, 0.500)  1.32
Co (0.932, 0.932, 0.865)  1.05
Co (0.068, 0.068, 0.135)  1.05
Co (0.250, 0.750, 0.500)  1.32

Output
energy relative to the lowest polymorph listed for this composition	0.041	eV per atom
energy relative to the elements	-0.04	eV per atom